# 1
Material: Ni4Cl
Method: DFT, PBE-GGA
State: relaxed

Summary:
energy above the lowest structure with this stoichiometry = 141 kJ/mol of formula units
formation energy without anion corrections = 736.9 meV/atom
space-group type = Pm-3m
E = -21.287 eV/cell
crystal system = cubic

The structure in POSCAR format:
```
Ni4Cl
1.0
-2.925 -1.333 -2.517
-1.435 -2.427 2.952
-2.460 3.000 1.271
Ni Cl
4 1
Cartesian
0.000 0.000 0.000
-2.693 0.833 -0.623
-1.948 0.286 2.112
-2.180 -1.880 0.218
-3.410 -0.380 0.853
```

***

# 2
Material: KBa3Ga5Se10Cl2
Method: DFT, PBE-GGA
State: relaxed

Summary:
formation energy without anion corrections = -1269.2 meV/atom
space-group type = P1
E = -87.192 eV/cell
crystal system = triclinic

The structure in POSCAR format:
```
KBa3Ga5Se10Cl2
1.0
-6.612 4.947 3.047
-5.558 -3.939 -5.683
-7.571 -5.085 4.026
K Ba Ga Se Cl
1 3 5 10 2
Cartesian
-8.740 -1.232 -1.208
-4.090 -0.444 0.955
-14.433 -1.515 3.000
-12.510 -5.164 -0.165
-11.590 0.819 1.218
-8.171 1.484 2.699
-11.068 0.526 4.945
-9.619 -2.062 2.628
-12.116 0.983 -2.637
-11.327 -1.584 0.986
-14.530 -2.147 -0.683
-6.078 -3.593 0.286
-7.547 -0.814 2.234
-9.752 2.403 1.103
-10.400 -1.799 4.907
-6.502 -3.325 -3.550
-6.081 2.638 2.322
-17.526 -2.997 1.478
-9.286 -4.466 2.448
-13.599 -4.536 2.710
-9.707 -4.372 -1.493
```